Compound: Ge2BiAsAu
Source: the Alexandria database
Functional: GGA-PBE
Structure: optimized geometry

Lattice parameters (Å, degrees): 4.997 4.997 5.265 90.00 90.00 90.00
Sites, in units of the cell vectors:
Ge  0.000  0.500  0.000
Ge  0.500  0.000  0.000
Bi  0.000  0.000  0.500
As  0.500  0.500  0.500
Au  0.500  0.500  0.000

Space group: No. 123
Calculated formation energy: 0.537 eV per atom



Compound: K2TlPtI
Source: the Alexandria database
Functional: GGA-PBE
Structure: optimized geometry

Lattice parameters (Å, degrees): 6.204 6.204 5.267 90.00 90.00 90.00
Sites, in units of the cell vectors:
K  0.000  0.500  0.000
K  0.500  0.000  0.000
Tl  0.000  0.000  0.500
Pt  0.000  0.000  0.000
I  0.500  0.500  0.500

Space group: No. 123
E_form (uncorrected): -528 meV/atom



Compound: UTc5Ge6
Source: the Alexandria database
Functional: GGA-PBE
Structure: optimized geometry

Lattice parameters (Å, degrees): 6.599 6.599 6.518 96.80 96.80 133.56
Sites, in units of the cell vectors:
U  0.000  0.000  0.000
Tc  0.000  0.000  0.500
Tc  0.319  0.681  0.000
Tc  0.370  0.630  0.500
Tc  0.630  0.370  0.500
Tc  0.681  0.319  0.000
Ge  0.173  0.802  0.291
Ge  0.198  0.827  0.709
Ge  0.439  0.439  0.784
Ge  0.561  0.561  0.216
Ge  0.802  0.173  0.291
Ge  0.827  0.198  0.709

Space group: No. 12
Calculated formation energy: 0.033 eV per atom



Compound: SiHg2Pb
Source: the Alexandria database
Functional: GGA-PBE
Structure: optimized geometry

Lattice parameters (Å, degrees): 4.359 3.959 6.259 90.00 110.22 90.00
Sites, in units of the cell vectors:
Si  0.000  0.000  0.000
Hg  0.231  0.000  0.486
Hg  0.820  0.500  0.664
Pb  0.558  0.500  0.121

Space group: No. 6
Offset from the most stable computed form: 27 meV per atom
E_form (uncorrected): 291 meV/atom



Compound: Si2RhNO
Source: the Alexandria database
Functional: GGA-PBE
Structure: optimized geometry

Lattice parameters (Å, degrees): 7.657 7.657 7.657 22.97 22.97 22.97
Sites, in units of the cell vectors:
Si  0.000  0.000  0.000
Si  0.147  0.147  0.147
Rh  0.544  0.544  0.544
N  0.647  0.647  0.647
O  0.073  0.073  0.073

Space group: No. 160
Offset from the most stable computed form: 85 meV per atom
E_form (uncorrected): -1145 meV/atom



Compound: Rb3PrY2Se6
Source: the Alexandria database
Functional: GGA-PBE
Structure: optimized geometry

Lattice parameters (Å, degrees): 7.449 7.449 8.385 98.52 98.52 120.00
Sites, in units of the cell vectors:
Rb  0.000  0.000  0.000
Rb  0.335  0.665  0.000
Rb  0.665  0.335  0.000
Pr  0.500  0.500  0.500
Y  0.167  0.833  0.500
Y  0.833  0.167  0.500
Se  0.091  0.434  0.302
Se  0.223  0.223  0.698
Se  0.434  0.091  0.302
Se  0.566  0.909  0.698
Se  0.777  0.777  0.302
Se  0.909  0.566  0.698

Space group: No. 12
E_form (uncorrected): -1740 meV/atom



Compound: PuSb2Ru
Source: the Alexandria database
Functional: GGA-PBE
Structure: optimized geometry

Lattice parameters (Å, degrees): 5.964 5.964 5.964 43.55 43.55 43.55
Sites, in units of the cell vectors:
Pu  0.000  0.000  0.000
Sb  0.228  0.228  0.228
Sb  0.772  0.772  0.772
Ru  0.500  0.500  0.500

Space group: No. 166
E_form (uncorrected): -318 meV/atom



Compound: SrPCl2
Source: the Alexandria database
Functional: GGA-PBE
Structure: optimized geometry

Lattice parameters (Å, degrees): 5.692 5.536 4.963 65.39 62.16 52.44
Sites, in units of the cell vectors:
Sr  0.000  0.000  0.000
P  0.500  0.500  0.500
Cl  0.000  0.500  0.500
Cl  0.500  0.000  0.000

Space group: No. 69
Offset from the most stable computed form: 159 meV per atom
E_form (uncorrected): -914 meV/atom